No. 1
Compound: H2Rh2Pb
Source: Alexandria via LeMat-Bulk
Functional: PBE
Structure: relaxed

```
H2Rh2Pb
1.0
5.3514 -0.1776 -1.5563
-3.0200 4.0165 -1.3037
-0.5735 0.1245 5.9103
H Rh Pb
4 4 2
Cartesian
1.5833 3.0239 -0.4972
-1.1132 1.9640 0.4537
2.8711 1.9994 2.5965
0.1746 0.9396 3.5474
2.5267 2.0243 -1.7251
-2.6998 3.2084 2.6902
4.4577 0.7550 0.3600
-0.7688 1.9392 4.7754
1.6430 0.4965 0.6126
0.1150 3.4670 2.4377
```

Values from the calculation:
total DFT energy (no corrections)	-50.204	eV per cell
spin magnetization	0.00	Bohr magnetons per cell
crystal system	triclinic
ΔE to the lowest computed polymorph	0	meV/atom
DOS(E_F)	4.9	states/eV/cell

***

No. 2
Compound: Pm3Cu2Rh7
Source: Alexandria via LeMat-Bulk
Functional: PBE
Structure: relaxed

```
Pm3Cu2Rh7
1.0
-2.2060 -4.4040 -2.0993
2.9215 -4.4522 -0.5582
-2.1300 -5.4844 6.9153
Pm Cu Rh
3 2 7
Cartesian
0.0000 0.0000 0.0000
-0.2800 -9.9205 0.6212
-1.1345 -4.4200 3.6365
0.4734 -5.9080 -1.7599
-1.8879 -8.4326 6.0176
-0.7072 -7.1703 2.1289
-1.3367 -7.2572 -0.4724
1.2503 -7.2815 0.3051
-0.2237 -5.0352 0.5867
-0.0778 -7.0834 4.7302
-1.1908 -9.3053 3.6710
-2.6648 -7.0591 3.9527
```

Values from the calculation:
total DFT energy (no corrections)	-80.154	eV per cell
spin magnetization	0.00	Bohr magnetons per cell
crystal system	trigonal
formation energy	-0.5208	eV per atom
DOS(E_F)	8.0	states/eV/cell

***

No. 3
Compound: TbEuC
Source: Alexandria via LeMat-Bulk
Functional: PBE
Structure: relaxed

```
TbEuC
1.0
-0.6001 -0.8561 -3.5288
1.2636 -2.5580 2.3249
-6.1976 -1.7236 1.4722
Eu C Tb
1 1 1
Cartesian
-0.7006 -0.1949 0.1664
-2.1851 -2.0369 -1.0535
-2.6483 -2.9058 1.1554
```

Values from the calculation:
total DFT energy (no corrections)	-24.230	eV per cell
spin magnetization	7.21	Bohr magnetons per cell
crystal system	trigonal
formation energy	-0.0339	eV per atom
DOS(E_F)	5.0	states/eV/cell

***

No. 4
Compound: LaOs2W
Source: Alexandria via LeMat-Bulk
Functional: PBE
Structure: relaxed

```
LaOs2W
1.0
2.8369 0.0053 0.0000
-1.2244 2.5591 0.0000
0.0000 0.0000 9.7883
La Os W
1 2 1
Cartesian
0.8062 1.2822 7.4356
0.0000 0.0000 0.2271
0.8062 1.2822 2.4342
0.0000 0.0000 4.5856
```

Values from the calculation:
total DFT energy (no corrections)	-37.298	eV per cell
spin magnetization	0.00	Bohr magnetons per cell
crystal system	orthorhombic
ΔE to the lowest computed polymorph	623	meV/atom
formation energy	0.7605	eV per atom
DOS(E_F)	5.0	states/eV/cell

***

> Which of these has the lowest total DFT energy (no corrections)?

Pm3Cu2Rh7